(1)
Density functional theory data (PBE) for a relaxed structure of AgSbS2Br.

Properties
Energy relative to the elements, uncorrected   -156 meV/atom

Cell lengths 4.201, 7.162, 10.541 Å; angles 69.81, 90.00, 90.00 degrees
Atoms (fractional coordinates):
Ag 0.250 0.341 0.159
S 0.750 0.624 0.602
Ag 0.750 0.659 0.841
S 0.250 0.465 0.889
Sb 0.250 0.373 0.675
Br 0.750 0.066 0.795
S 0.250 0.376 0.398
Br 0.250 0.934 0.205
Sb 0.750 0.627 0.325
S 0.750 0.535 0.111


(2)
Density functional theory data (PBE) for a relaxed structure of GaFeNi.

Properties
ΔE_f   -0.134 eV per atom

Cell lengths 2.857, 2.857, 10.001 Å; angles 98.21, 98.21, 90.00 degrees
Site moments in Bohr magnetons follow the coordinates.
Atoms (fractional coordinates):
Fe 0.286 0.286 0.573  2.68
Ga 0.436 0.436 0.872  -0.04
Fe 0.714 0.714 0.427  2.68
Ni 0.141 0.141 0.281  0.36
Ga 0.564 0.564 0.128  -0.04
Ni 0.859 0.859 0.719  0.36


(3)
Density functional theory data (PBE) for a relaxed structure of SrTeI2Cl.

Properties
Energy relative to the elements, uncorrected   -383 meV/atom

Cell lengths 5.535, 5.535, 6.060 Å; angles 90.00, 90.00, 90.00 degrees
Atoms (fractional coordinates):
Cl 0.000 0.000 0.000
I 0.000 0.500 0.000
Sr 0.500 0.500 0.500
I 0.500 0.000 0.000
Te 0.000 0.000 0.500


(4)
Density functional theory data (PBE) for a relaxed structure of CuSbW2.

Properties
Energy relative to the elements, uncorrected   668 meV/atom

Cell lengths 3.370, 3.369, 5.841 Å; angles 90.00, 90.00, 90.00 degrees
Atoms (fractional coordinates):
Cu 0.500 0.500 0.250
Sb 0.500 0.500 0.750
W 0.000 0.000 0.033
W 0.000 0.000 0.467


(5)
Density functional theory data (PBE) for a relaxed structure of Tb5Nd2Y6.

Properties
ΔE_f   0.099 eV per atom

Cell lengths 3.598, 11.768, 20.388 Å; angles 90.00, 90.00, 90.00 degrees
Atoms (fractional coordinates):
Tb 0.500 0.908 0.776
Tb 0.500 0.800 0.049
Y 0.000 0.442 0.579
Y 0.000 0.582 0.132
Tb 0.500 0.700 0.549
Nd 0.000 0.333 0.286
Y 0.000 0.418 0.868
Nd 0.000 0.667 0.714
Y 0.000 0.558 0.421
Tb 0.500 0.500 0.000
Y 0.000 0.082 0.368
Nd 0.000 0.167 0.786
Y 0.500 0.678 0.870
Tb 0.500 0.092 0.224
Tb 0.500 0.300 0.451
Y 0.500 0.822 0.370
Y 0.000 0.058 0.079
Y 0.500 0.322 0.130
Tb 0.500 0.200 0.951
Tb 0.500 0.000 0.500
Y 0.500 0.178 0.630
Tb 0.500 0.408 0.724
Y 0.000 0.918 0.632
Y 0.000 0.942 0.921
Nd 0.000 0.833 0.214
Tb 0.500 0.592 0.276


(6)
Density functional theory data (PBE) for a relaxed structure of NdTm2Cu.

Properties
ΔE_f   0.015 eV per atom

Cell lengths 3.658, 3.658, 9.859 Å; angles 79.31, 79.31, 60.00 degrees
Atoms (fractional coordinates):
Tm 0.268 0.268 0.195
Cu 0.666 0.666 0.003
Nd 0.501 0.501 0.496
Tm 0.064 0.064 0.807


(7)
Density functional theory data (PBE) for a relaxed structure of YTlP.

Properties
ΔE_f   -0.168 eV per atom

Cell lengths 4.886, 4.886, 4.886 Å; angles 60.00, 60.00, 60.00 degrees
Atoms (fractional coordinates):
Tl 0.500 0.500 0.500
Y 0.250 0.250 0.250
P 0.000 0.000 0.000


(8)
Density functional theory data (PBE) for a relaxed structure of ZrMn2Br.

Properties
Energy relative to the elements, uncorrected   320 meV/atom

Cell lengths 4.688, 3.124, 4.977 Å; angles 91.65, 90.00, 90.00 degrees
Site moments in Bohr magnetons follow the coordinates.
Atoms (fractional coordinates):
Mn 0.000 0.922 0.022  3.22
Br 0.500 0.750 0.750  0.04
Zr 0.500 0.250 0.250  -0.65
Mn 0.000 0.578 0.478  3.22


(9)
Density functional theory data (PBE) for a relaxed structure of P2BrO2.

Properties
Energy relative to the elements, uncorrected   -296 meV/atom

Cell lengths 3.518, 3.518, 5.092 Å; angles 90.00, 90.00, 90.00 degrees
Atoms (fractional coordinates):
O 0.000 0.500 0.000
P 0.000 0.000 0.000
Br 0.500 0.500 0.500
P 0.000 0.000 0.500
O 0.500 0.000 0.000


(10)
Density functional theory data (PBE) for a relaxed structure of LaSbC.

Properties
Energy relative to the elements, uncorrected   -267 meV/atom

Cell lengths 4.125, 5.279, 8.434 Å; angles 118.14, 90.00, 113.00 degrees
Atoms (fractional coordinates):
La 0.925 0.850 0.192
La 0.075 0.150 0.808
Sb 0.339 0.679 0.456
C 0.426 0.852 0.980
C 0.574 0.148 0.020
Sb 0.661 0.321 0.544


(11)
Density functional theory data (PBE) for a relaxed structure of ScHRh3.

Properties
Calculated total energy   -6.00 eV per atom

Cell lengths 2.815, 6.677, 6.677 Å; angles 133.40, 90.00, 90.00 degrees
Atoms (fractional coordinates):
H 0.000 0.451 0.549
Sc 0.500 0.092 0.908
Rh 0.000 0.267 0.733
Rh 0.500 0.146 0.328
Rh 0.500 0.672 0.854


(12)
Density functional theory data (PBE) for a relaxed structure of YThPN.

Properties
Energy relative to the elements, uncorrected   -1259 meV/atom

Cell lengths 4.375, 4.375, 9.042 Å; angles 90.00, 90.00, 90.00 degrees
Atoms (fractional coordinates):
P 0.000 0.500 0.312
N 0.000 0.000 0.000
N 0.500 0.500 0.000
Th 0.000 0.500 0.888
Y 0.000 0.000 0.500
P 0.500 0.000 0.688
Y 0.500 0.500 0.500
Th 0.500 0.000 0.112